No. 1
# Ac4OsS2Cl PBE relaxed
# Calculated total energy in eV/atom: -6.033
# Theoretical density in g/cm³: 8.4
# Crystal system: monoclinic
# Fermi-level density of states in states/eV/cell: 6.1
data_Ac4OsS2Cl
_chemical_formula_sum 'Ac4 Os1 S2 Cl1'
_cell_length_a 7.632
_cell_length_b 4.284
_cell_length_c 7.638
_cell_angle_alpha 90.00
_cell_angle_beta 107.81
_cell_angle_gamma 90.00
_space_group_name_H-M_alt 'P 1 2/m 1'
_space_group_IT_number 10
_space_group_name_Hall '-P 2y'
loop_
_atom_site_label
_atom_site_type_symbol
_atom_site_fract_x
_atom_site_fract_y
_atom_site_fract_z
_atom_site_occupancy
Ac1 Ac 0.229 0.000 0.237 1
Ac2 Ac 0.230 0.500 0.746 1
Os1 Os 0.000 0.500 0.000 1
S1 S 0.000 0.000 0.500 1
S2 S 0.500 0.500 0.500 1
Cl1 Cl 0.500 0.000 0.000 1

=====

No. 2
# SrLi4Mg PBE relaxed
# Calculated total energy in eV/atom: -1.829
# ΔE_f in eV per atom: -0.007
# Theoretical density in g/cm³: 1.5
# Crystal system: cubic
# Fermi-level density of states in states/eV/cell: 23.3
data_SrLi4Mg
_chemical_formula_sum 'Sr4 Li16 Mg4'
_cell_length_a 8.454
_cell_length_b 8.454
_cell_length_c 8.454
_cell_angle_alpha 90.00
_cell_angle_beta 90.00
_cell_angle_gamma 90.00
_space_group_name_H-M_alt 'F -4 3 m'
_space_group_IT_number 216
_space_group_name_Hall 'F -4 2 3'
loop_
_atom_site_label
_atom_site_type_symbol
_atom_site_fract_x
_atom_site_fract_y
_atom_site_fract_z
_atom_site_occupancy
Sr1 Sr 0.000 0.000 0.000 1
Li1 Li 0.122 0.122 0.378 1
Mg1 Mg 0.250 0.250 0.750 1

=====

No. 3
# Y3Hg3Pd2 PBE relaxed
# Calculated total energy in eV/atom: -4.523
# ΔE_f in eV per atom: -0.687
# Theoretical density in g/cm³: 9.6
# Crystal system: hexagonal
# Fermi-level density of states in states/eV/cell: 4.1
data_Y3Hg3Pd2
_chemical_formula_sum 'Y3 Hg3 Pd2'
_cell_length_a 7.6029
_cell_length_b 7.6029
_cell_length_c 3.7183
_cell_angle_alpha 90.00
_cell_angle_beta 90.00
_cell_angle_gamma 120.00
_space_group_name_H-M_alt 'P -6 2 m'
_space_group_IT_number 189
_space_group_name_Hall 'P -6 -2'
loop_
_atom_site_label
_atom_site_type_symbol
_atom_site_fract_x
_atom_site_fract_y
_atom_site_fract_z
_atom_site_occupancy
Y1 Y 0.0000 0.5910 0.0000 1
Hg1 Hg 0.0000 0.2372 0.5000 1
Pd1 Pd 0.3333 0.6667 0.5000 1

=====

Question: Which value of Fermi-level density of states does entry 3 give?
Answer: 4.1 states/eV/cell

=====

Please write out number 2 again, unchanged.
# SrLi4Mg PBE relaxed
# Calculated total energy in eV/atom: -1.829
# ΔE_f in eV per atom: -0.007
# Theoretical density in g/cm³: 1.5
# Crystal system: cubic
# Fermi-level density of states in states/eV/cell: 23.3
data_SrLi4Mg
_chemical_formula_sum 'Sr4 Li16 Mg4'
_cell_length_a 8.454
_cell_length_b 8.454
_cell_length_c 8.454
_cell_angle_alpha 90.00
_cell_angle_beta 90.00
_cell_angle_gamma 90.00
_space_group_name_H-M_alt 'F -4 3 m'
_space_group_IT_number 216
_space_group_name_Hall 'F -4 2 3'
loop_
_atom_site_label
_atom_site_type_symbol
_atom_site_fract_x
_atom_site_fract_y
_atom_site_fract_z
_atom_site_occupancy
Sr1 Sr 0.000 0.000 0.000 1
Li1 Li 0.122 0.122 0.378 1
Mg1 Mg 0.250 0.250 0.750 1

=====

Question: Number 1 is which compound?
Answer: Ac4OsS2Cl

=====

Question: Which formula does entry 3 have?
Answer: Y3Hg3Pd2